Entry 1:
DFT (PBE-GGA) results for a relaxed structure of K4YRe.

a = 9.8044 Å, b = 9.8044 Å, c = 9.8044 Å
α = 90.00°, β = 90.00°, γ = 90.00°
Space group F-43m (No. 216)
One atom of each set of equivalent atoms:
K (0.1230, 0.1230, 0.1230)
Y (0.0000, 0.0000, 0.5000)
Re (0.2500, 0.2500, 0.7500)

Calculated values
Total moment ... 1.59 μB/f.u.
Total energy ... -58.3 eV/cell
ρ ... 3.0 g/cm3

Entry 2:
DFT (PBE-GGA) results for a relaxed structure of KY3Re.

a = 5.1054 Å, b = 5.1054 Å, c = 5.1054 Å
α = 90.00°, β = 90.00°, γ = 90.00°
Space group Pm-3m (No. 221)
One atom of each set of equivalent atoms:
K (0.0000, 0.0000, 0.0000)
Y (0.0000, 0.0000, 0.5000)
Re (0.5000, 0.5000, 0.5000)

Calculated values
Energy above the lowest structure with this stoichiometry ... 1633.9 meV/atom
Total moment ... 2.06 μB/f.u.
Total energy ... -23.1 eV/cell
ρ ... 6.1 g/cm3

Entry 3:
DFT (PBE-GGA) results for a relaxed structure of KY2Re.

a = 7.3705 Å, b = 7.3705 Å, c = 7.3705 Å
α = 90.00°, β = 90.00°, γ = 90.00°
Space group Fm-3m (No. 225)
One atom of each set of equivalent atoms:
K (0.0000, 0.0000, 0.0000)
Y (0.2500, 0.2500, 0.2500)
Re (0.0000, 0.0000, 0.5000)

Calculated values
Energy above the lowest structure with this stoichiometry ... 496.3 meV/atom
Total moment ... 0.00 μB/f.u.
Total energy ... -94.2 eV/cell
ρ ... 6.7 g/cm3

Entry 4:
DFT (PBE-GGA) results for a relaxed structure of KY2Re.

a = 7.0679 Å, b = 9.6619 Å, c = 3.1770 Å
α = 90.00°, β = 110.00°, γ = 90.00°
Space group C2/m (No. 12)
One atom of each set of equivalent atoms:
K (0.0000, 0.0000, 0.0000)
Y (0.2500, 0.2500, 0.5000)
Re (0.0000, 0.5000, 0.0000)

Calculated values
Energy above the lowest structure with this stoichiometry ... 780.2 meV/atom
Total moment ... 0.00 μB/f.u.
Total energy ... -44.8 eV/cell
ρ ... 6.6 g/cm3

Entry 5:
DFT (PBE-GGA) results for a relaxed structure of KY2Re.

a = 8.2978 Å, b = 8.2978 Å, c = 11.7210 Å
α = 90.00°, β = 90.00°, γ = 90.00°
Space group I-42d (No. 122)
One atom of each set of equivalent atoms:
K (0.0000, 0.0000, 0.0000)
Y (0.0007, 0.7500, 0.6250)
Re (0.0000, 0.0000, 0.5000)

Calculated values
Energy above the lowest structure with this stoichiometry ... 704.5 meV/atom
Total moment ... 0.00 μB/f.u.
Total energy ... -90.9 eV/cell
ρ ... 3.3 g/cm3

Entry 6:
DFT (PBE-GGA) results for a relaxed structure of KY2Re.

a = 5.0787 Å, b = 5.0787 Å, c = 3.9712 Å
α = 90.00°, β = 90.00°, γ = 90.00°
Space group P4/mmm (No. 123)
One atom of each set of equivalent atoms:
K (0.0000, 0.0000, 0.0000)
Y (0.0000, 0.5000, 0.5000)
Re (0.5000, 0.5000, 0.0000)

Calculated values
Energy above the lowest structure with this stoichiometry ... 697.0 meV/atom
Total moment ... 0.00 μB/f.u.
Total energy ... -22.8 eV/cell
ρ ... 6.5 g/cm3

Entry 7:
DFT (PBE-GGA) results for a relaxed structure of KY2Re.

a = 4.5760 Å, b = 4.5760 Å, c = 9.9402 Å
α = 90.00°, β = 90.00°, γ = 90.00°
Space group I-4m2 (No. 119)
One atom of each set of equivalent atoms:
K (0.0000, 0.0000, 0.0000)
Y (0.0000, 0.0000, 0.5000)
Y (0.0000, 0.5000, 0.2500)
Re (0.0000, 0.5000, 0.7500)

Calculated values
Energy above the lowest structure with this stoichiometry ... 781.8 meV/atom
Total moment ... 0.00 μB/f.u.
Total energy ... -44.8 eV/cell
ρ ... 6.4 g/cm3

Entry 8:
DFT (PBE-GGA) results for a relaxed structure of KY2Re.

a = 3.2845 Å, b = 3.2845 Å, c = 11.1944 Å
α = 90.00°, β = 90.00°, γ = 90.00°
Space group P4mm (No. 99)
One atom of each set of equivalent atoms:
K (0.0000, 0.0000, 0.0000)
Y (0.0000, 0.0000, 0.3999)
Y (0.5000, 0.5000, 0.6717)
Re (0.5000, 0.5000, 0.2396)

Calculated values
Energy above the lowest structure with this stoichiometry ... 615.0 meV/atom
Total moment ... 1.74 μB/f.u.
Total energy ... -23.1 eV/cell
ρ ... 5.5 g/cm3